Compound: RbSrTc2O8
Source: the Alexandria database
Functional: PBE
Structure: relaxed

Structure (CIF):
```
data_RbSrTc2O8
_chemical_formula_sum 'Rb1 Sr1 Tc2 O8'
_cell_length_a 6.1642
_cell_length_b 6.1642
_cell_length_c 8.1865
_cell_angle_alpha 90.00
_cell_angle_beta 90.00
_cell_angle_gamma 120.00
_symmetry_space_group_name_H-M 'P -3'
_symmetry_Int_Tables_number 147
_symmetry_space_group_name_Hall '-P 3'
loop_
_atom_site_label
_atom_site_fract_x
_atom_site_fract_y
_atom_site_fract_z
Rb1 0.0000 0.0000 0.0000
Sr1 0.0000 0.0000 0.5000
Tc1 0.3333 0.6667 0.7705
O1 0.1754 0.3535 0.6992
O2 0.3333 0.6667 0.9834
```

Summary:
Its formation energy without anion corrections is -1.8402 eV per atom. The value obtained for the density of states at the Fermi level is 7.50 states/eV/f.u. The value obtained for the uncorrected energy is -7.094 eV per atom.